# PBE-GGA Ta2NiAg, optimized geometry
data_Ta2NiAg
_chemical_formula_sum 'Ta6 Ni3 Ag3'
_symmetry_space_group_name_H-M 'R 3 m'
_symmetry_Int_Tables_number 160
_symmetry_space_group_name_Hall 'R 3 -2"'
_cell_length_a 2.8679
_cell_length_b 2.8679
_cell_length_c 28.0197
_cell_angle_alpha 90.00
_cell_angle_beta 90.00
_cell_angle_gamma 120.00
loop_
_atom_site_label
_atom_site_type_symbol
_atom_site_fract_x
_atom_site_fract_y
_atom_site_fract_z
_atom_site_occupancy
Ta1 Ta 0.0000 0.0000 0.0000 1
Ta2 Ta 0.0000 0.0000 0.2409 1
Ni1 Ni 0.0000 0.0000 0.5019 1
Ag1 Ag 0.0000 0.0000 0.7561 1
# Formation enthalpy at 0 K: 21.5 kJ/mol of atoms
# Total magnetic moment: 0.000 μB/atom
# E above lowest polymorph: 162 meV/atom